(1)
First-principles (PBE) data for Dy2HgRh after structural relaxation, as listed in Alexandria.

Calculated values
crystal system	trigonal
ΔE to the lowest computed polymorph	105	meV/atom

Cell: 4.0086 4.0086 22.5620 Å, 90.00 90.00 120.00°
With the nearest neighbours (Å) after each atom.
Space group R3m (No. 160, hexagonal axes)
One atom of each set of equivalent atoms:
Dy: 0.0000 0.0000 0.0000  3 Rh 2.78
Dy: 0.0000 0.0000 0.1993  3 Rh 2.75
Hg: 0.0000 0.0000 0.4336  6 Dy 3.22-3.24
Rh: 0.0000 0.0000 0.5983  6 Dy 2.75-2.78

(2)
First-principles (PBE) data for Dy6Hg2Rh after structural relaxation, as listed in Alexandria.

Calculated values
crystal system	hexagonal
ΔE to the lowest computed polymorph	0	meV/atom

Cell: 8.5927 8.5927 3.7595 Å, 90.00 90.00 120.00°
With the nearest neighbours (Å) after each atom.
Space group P-62m (No. 189)
One atom of each set of equivalent atoms:
Dy: 0.0000 0.4005 0.0000  4 Hg 3.23, 1 Rh 3.44, 6 Dy 3.54-3.59
Dy: 0.0000 0.7558 0.5000  2 Rh 2.82
Hg: 0.3333 0.6667 0.5000  9 Dy 3.23-3.31
Rh: 0.0000 0.0000 0.0000  6 Dy 2.82

(3)
First-principles (PBE) data for Dy12Hg5Rh2 after structural relaxation, as listed in Alexandria.

Calculated values
crystal system	monoclinic

Cell: 16.4111 7.6904 9.3723 Å, 90.00 104.67 90.00°
With the nearest neighbours (Å) after each atom.
Space group C2/m (No. 12)
One atom of each set of equivalent atoms:
Dy: 0.0031 0.0000 0.2422  2 Rh 2.80, 1 Hg 3.04
Dy: 0.0285 0.5000 0.8295  2 Rh 2.81, 1 Hg 3.00
Dy: 0.1427 0.2463 0.5661  4 Hg 2.99-3.14
Dy: 0.1691 0.2384 0.1063  1 Rh 2.71, 2 Hg 3.02-3.03
Hg: 0.0000 0.5000 0.5000  6 Dy 2.99-3.00
Hg: 0.1885 0.0000 0.8423  7 Dy 3.03-3.16
Hg: 0.2085 0.0000 0.3712  7 Dy 3.02-3.28
Rh: 0.0000 0.2159 0.0000  6 Dy 2.71-2.81

(4)
First-principles (PBE) data for Dy3Hg2Rh after structural relaxation, as listed in Alexandria.

Calculated values
crystal system	monoclinic
ΔE to the lowest computed polymorph	77	meV/atom

Cell: 16.1409 5.2808 7.0800 Å, 90.00 90.04 90.00°
With the nearest neighbours (Å) after each atom.
Space group C2/c (No. 15)
One atom of each set of equivalent atoms:
Dy: 0.0000 0.0189 0.2500  2 Rh 2.64
Dy: 0.1391 0.5000 0.0000  2 Rh 2.86
Hg: 0.1929 0.9996 0.2497  7 Dy 3.11-3.30, 2 Hg 3.22
Rh: 0.0000 0.4809 0.7500  6 Dy 2.64-2.86

(5)
First-principles (PBE) data for Dy3Hg3Rh2 after structural relaxation, as listed in Alexandria.

Calculated values
crystal system	hexagonal

Cell: 7.6197 7.6197 3.5921 Å, 90.00 90.00 120.00°
With the nearest neighbours (Å) after each atom.
Space group P-62m (No. 189)
One atom of each set of equivalent atoms:
Dy: 0.0000 0.5794 0.0000  4 Rh 2.90, 2 Hg 3.18
Hg: 0.0000 0.2356 0.5000  2 Rh 2.98, 2 Hg 3.11, 6 Dy 3.18-3.31
Rh: 0.3333 0.6667 0.5000  6 Dy 2.90, 3 Hg 2.98

(6)
First-principles (PBE) data for Dy2HgRh after structural relaxation, as listed in Alexandria.

Calculated values
crystal system	trigonal
ΔE to the lowest computed polymorph	85	meV/atom

Cell: 3.9286 3.9286 23.2374 Å, 90.00 90.00 120.00°
With the nearest neighbours (Å) after each atom.
Space group R-3m (No. 166, hexagonal axes)
One atom of each set of equivalent atoms:
Dy: 0.0000 0.0000 0.2345  3 Rh 2.76
Hg: 0.0000 0.0000 0.0000  6 Dy 3.23
Rh: 0.0000 0.0000 0.5000  6 Dy 2.76

(7)
First-principles (PBE) data for Dy2Hg2Rh after structural relaxation, as listed in Alexandria.

Calculated values
crystal system	tetragonal

Cell: 3.4547 3.4547 19.2559 Å, 90.00 90.00 90.00°
With the nearest neighbours (Å) after each atom.
Space group I4/mmm (No. 139)
One atom of each set of equivalent atoms:
Dy: 0.0000 0.0000 0.0876  4 Rh 2.97, 4 Hg 3.24
Hg: 0.0000 0.0000 0.3019  8 Hg 3.16-3.45, 4 Dy 3.24
Rh: 0.0000 0.0000 0.5000  8 Dy 2.97

(8)
First-principles (PBE) data for Dy3Hg2Rh after structural relaxation, as listed in Alexandria.

Calculated values
crystal system	monoclinic
ΔE to the lowest computed polymorph	0	meV/atom

Cell: 5.0756 7.4039 8.0026 Å, 90.00 108.39 90.00°
With the nearest neighbours (Å) after each atom.
Space group P2/m (No. 10)
One atom of each set of equivalent atoms:
Dy: 0.0000 0.2369 0.0000  2 Rh 3.01, 6 Hg 3.08-3.20
Dy: 0.3265 0.2276 0.6532  3 Rh 3.03-3.05, 5 Hg 3.13-3.32, 1 Dy 3.37
Hg: 0.1648 0.5000 0.3310  8 Dy 3.17-3.25
Hg: 0.5000 0.0000 0.0000  8 Dy 3.08-3.13
Hg: 0.5000 0.5000 0.0000  8 Dy 3.20-3.32, 4 Hg 3.57
Rh: 0.1611 0.0000 0.3223  8 Dy 3.01-3.05

(9)
First-principles (PBE) data for Dy2HgRh after structural relaxation, as listed in Alexandria.

Calculated values
crystal system	cubic
ΔE to the lowest computed polymorph	78	meV/atom

Cell: 7.1395 7.1395 7.1395 Å, 90.00 90.00 90.00°
With the nearest neighbours (Å) after each atom.
Space group Fm-3m (No. 225)
One atom of each set of equivalent atoms:
Dy: 0.2500 0.2500 0.2500  4 Rh 3.09, 4 Hg 3.09
Hg: 0.0000 0.0000 0.0000  8 Dy 3.09
Rh: 0.0000 0.0000 0.5000  8 Dy 3.09

(10)
First-principles (PBE) data for Dy6HgRh after structural relaxation, as listed in Alexandria.

Calculated values
crystal system	triclinic

Cell: 6.8597 6.8749 7.4028 Å, 90.16 117.40 119.88°
With the nearest neighbours (Å) after each atom.
Space group P-1 (No. 2)
One atom of each set of equivalent atoms:
Dy: 0.0337 0.0802 0.2535  1 Rh 2.70, 1 Hg 2.98
Dy: 0.2990 0.7191 0.2528  1 Rh 2.70, 1 Hg 2.98
Dy: 0.3247 0.5452 0.7471  1 Rh 2.70, 1 Hg 2.98
Hg: 0.5000 0.0000 0.0000  6 Dy 2.98
Rh: 0.5000 0.5000 0.5000  6 Dy 2.70

(11)
First-principles (PBE) data for Dy5Hg2Rh2 after structural relaxation, as listed in Alexandria.

Calculated values
crystal system	orthorhombic

Cell: 15.8172 7.4595 7.6538 Å, 90.00 90.00 90.00°
With the nearest neighbours (Å) after each atom.
Space group Cmce (No. 64)
One atom of each set of equivalent atoms:
Dy: 0.0000 0.0000 0.0000  4 Rh 2.93-2.96
Dy: 0.1227 0.1704 0.3291  3 Rh 2.86-3.05, 3 Hg 3.14-3.17
Hg: 0.2141 0.0000 0.0000  7 Dy 3.14-3.39
Rh: 0.0000 0.1319 0.6346  1 Rh 2.85, 8 Dy 2.86-3.05

(12)
First-principles (PBE) data for Dy3Hg4Rh4 after structural relaxation, as listed in Alexandria.

Calculated values
crystal system	orthorhombic

Cell: 3.4339 8.0741 16.5991 Å, 90.00 90.00 90.00°
With the nearest neighbours (Å) after each atom.
Space group Immm (No. 71)
One atom of each set of equivalent atoms:
Dy: 0.0000 0.0000 0.0000  4 Rh 2.91
Dy: 0.0000 0.5000 0.1048  6 Rh 2.82-2.97
Hg: 0.0000 0.3133 0.3392  4 Rh 2.80-2.85, 1 Hg 3.01
Rh: 0.0000 0.0000 0.2606  2 Dy 2.82, 6 Hg 2.82-2.85
Rh: 0.0000 0.2091 0.5000  2 Hg 2.80, 6 Dy 2.91-2.97

(13)
First-principles (PBE) data for Dy2HgRh after structural relaxation, as listed in Alexandria.

Calculated values
crystal system	tetragonal
ΔE to the lowest computed polymorph	0	meV/atom

Cell: 3.4989 3.4989 7.5040 Å, 90.00 90.00 90.00°
With the nearest neighbours (Å) after each atom.
Space group P4/mmm (No. 123)
One atom of each set of equivalent atoms:
Dy: 0.0000 0.0000 0.2204  4 Rh 2.98, 4 Hg 3.24, 1 Dy 3.31
Hg: 0.5000 0.5000 0.5000  8 Dy 3.24, 4 Hg 3.50
Rh: 0.5000 0.5000 0.0000  8 Dy 2.98

(14)
First-principles (PBE) data for Dy8Hg2Rh after structural relaxation, as listed in Alexandria.

Calculated values
crystal system	monoclinic

Cell: 17.6496 5.2351 6.8383 Å, 90.00 106.74 90.00°
With the nearest neighbours (Å) after each atom.
Space group C2/m (No. 12)
One atom of each set of equivalent atoms:
Dy: 0.0237 0.0000 0.2821  1 Hg 3.02, 2 Rh 3.10, 3 Dy 3.32-3.35
Dy: 0.0882 0.5000 0.9304  1 Rh 2.91
Dy: 0.1531 0.5000 0.4582  1 Rh 2.80, 1 Hg 3.02
Dy: 0.1995 0.0000 0.8047  1 Hg 2.95
Hg: 0.1873 0.0000 0.2255  5 Dy 2.95-3.21
Rh: 0.0000 0.5000 0.5000  8 Dy 2.80-3.10

(15)
First-principles (PBE) data for Dy4Hg2Rh after structural relaxation, as listed in Alexandria.

Calculated values
crystal system	orthorhombic

Cell: 7.9480 12.6705 3.9823 Å, 90.00 90.00 90.00°
With the nearest neighbours (Å) after each atom.
Space group Pbam (No. 55)
One atom of each set of equivalent atoms:
Dy: 0.1282 0.1964 0.0000  1 Rh 2.69
Dy: 0.2262 0.9478 0.5000  2 Rh 2.76
Hg: 0.0792 0.6684 0.5000  6 Dy 3.08-3.19
Rh: 0.0000 0.0000 0.0000  6 Dy 2.69-2.76

(16)
First-principles (PBE) data for Dy6Hg2Rh after structural relaxation, as listed in Alexandria.

Calculated values
crystal system	monoclinic
ΔE to the lowest computed polymorph	63	meV/atom

Cell: 6.9359 7.3343 12.3007 Å, 90.00 123.95 90.00°
With the nearest neighbours (Å) after each atom.
Space group P2_1/c (No. 14)
One atom of each set of equivalent atoms:
Dy: 0.1288 0.1961 0.4494  1 Rh 2.70
Dy: 0.2537 0.6888 0.4460  1 Rh 2.70
Dy: 0.3612 0.0135 0.2455  1 Rh 2.71, 1 Hg 3.04
Hg: 0.2079 0.0906 0.7474  6 Dy 3.04-3.23
Rh: 0.5000 0.0000 0.5000  6 Dy 2.70-2.71

(17)
First-principles (PBE) data for Dy6HgRh2 after structural relaxation, as listed in Alexandria.

Calculated values
crystal system	monoclinic
ΔE to the lowest computed polymorph	125	meV/atom

Cell: 10.2181 4.9924 9.1456 Å, 90.00 101.56 90.00°
With the nearest neighbours (Å) after each atom.
Space group C2/m (No. 12)
One atom of each set of equivalent atoms:
Dy: 0.0364 0.0000 0.3423  1 Hg 3.08, 5 Rh 3.10-3.42, 4 Dy 3.12-3.25
Dy: 0.1561 0.5000 0.8902  1 Rh 2.62
Dy: 0.2175 0.5000 0.3353  3 Rh 2.76-2.97
Hg: 0.0000 0.0000 0.0000  6 Dy 3.08-3.23
Rh: 0.1249 0.5000 0.5983  2 Dy 2.62-2.76, 1 Rh 2.81

(18)
First-principles (PBE) data for Dy4HgRh5 after structural relaxation, as listed in Alexandria.

Calculated values
crystal system	tetragonal

Cell: 3.4324 3.4324 16.5370 Å, 90.00 90.00 90.00°
With the nearest neighbours (Å) after each atom.
Space group P4/mmm (No. 123)
One atom of each set of equivalent atoms:
Dy: 0.0000 0.0000 0.1032  8 Rh 2.94-2.97
Dy: 0.0000 0.0000 0.3100  8 Rh 2.89-3.00, 1 Hg 3.14
Hg: 0.0000 0.0000 0.5000  8 Rh 2.90, 2 Dy 3.14
Rh: 0.5000 0.5000 0.0000  8 Dy 2.97
Rh: 0.5000 0.5000 0.2039  8 Dy 2.94-3.00
Rh: 0.5000 0.5000 0.4045  4 Dy 2.89, 4 Hg 2.90, 1 Rh 3.16

(19)
First-principles (PBE) data for Dy6HgRh2 after structural relaxation, as listed in Alexandria.

Calculated values
crystal system	orthorhombic
ΔE to the lowest computed polymorph	0	meV/atom

Cell: 9.3439 9.5995 10.3371 Å, 90.00 90.00 90.00°
With the nearest neighbours (Å) after each atom.
Space group Immm (No. 71)
One atom of each set of equivalent atoms:
Dy: 0.0000 0.1985 0.2386  1 Rh 2.80, 1 Hg 3.12
Dy: 0.1935 0.5000 0.1707  3 Rh 2.73-2.98
Dy: 0.2144 0.3195 0.5000  3 Rh 2.98-3.06, 1 Hg 3.18
Hg: 0.0000 0.0000 0.0000  8 Dy 3.12-3.18, 2 Rh 3.23
Hg: 0.0000 0.0000 0.5000  12 Dy 3.31-3.66
Rh: 0.0000 0.3360 0.0000  8 Dy 2.80-3.06
Rh: 0.0000 0.5000 0.3681  6 Dy 2.73-2.98, 1 Rh 2.73

(20)
First-principles (PBE) data for Dy3HgRh8 after structural relaxation, as listed in Alexandria.

Calculated values
crystal system	trigonal

Cell: 5.3023 5.3023 26.1394 Å, 90.00 90.00 120.00°
With the nearest neighbours (Å) after each atom.
Space group R3m (No. 160, hexagonal axes)
One atom of each set of equivalent atoms:
Dy: 0.0000 0.0000 0.0000  12 Rh 3.03-3.19, 3 Hg 3.19, 1 Dy 3.38
Dy: 0.0000 0.0000 0.1292  12 Rh 3.10-3.12, 4 Dy 3.31-3.38
Dy: 0.0000 0.0000 0.5105  12 Rh 3.03-3.25, 1 Hg 3.18, 3 Dy 3.31
Hg: 0.0000 0.0000 0.6320  12 Rh 3.08-3.15, 4 Dy 3.18-3.19
Rh: 0.0000 0.0000 0.3171  6 Rh 2.66-2.67
Rh: 0.0000 0.0000 0.8171  6 Rh 2.65-2.66
Rh: 0.0005 0.5002 0.0676  6 Rh 2.65-2.67
Rh: 0.1672 0.3344 0.9002  6 Rh 2.64-2.66

| no. | spin magnetization (μB/f.u.) | calculated volume (Å³ per cell) | ΔH_f (0 K) (meV per atom) |
| --- | --- | --- | --- |
| 1 | 0.00 | 314.0 | -591 |
| 2 | 0.00 | 240.4 | -426 |
| 3 | 0.00 | 1144.3 | -283 |
| 4 | 0.00 | 603.5 | -535 |
| 5 | 0.00 | 180.6 | -641 |
| 6 | 0.00 | 310.6 | -612 |
| 7 | 0.00 | 229.8 | -566 |
| 8 | 0.00 | 285.4 | -612 |
| 9 | 0.00 | 363.9 | -619 |
| 10 | 0.00 | 256.2 | -145 |
| 11 | 0.00 | 903.1 | -638 |
| 12 | 0.00 | 460.2 | -414 |
| 13 | 0.00 | 91.9 | -696 |
| 14 | 0.00 | 605.1 | -330 |
| 15 | 0.00 | 401.0 | -455 |
| 16 | 0.00 | 519.0 | -363 |
| 17 | 0.00 | 457.1 | -437 |
| 18 | 0.00 | 194.8 | -703 |
| 19 | 0.00 | 927.2 | -563 |
| 20 | 0.00 | 636.4 | -565 |